# S

S at its PBEsol-relaxed geometry (meta-GGA SCAN, Alexandria). Values from VASP.

Calculated values
Uncorrected formation energy ... 0.01 eV per formula unit
Polymorph energy (0 for the lowest one) ... 0.005 eV per atom
Total energy ... -9.623 eV per atom
Calculated volume ... 25.0 Å³ per atom
Magnetization ... 0.00 μB per formula unit
Fermi-level density of states ... 0.00 states/eV/f.u.

Geometry as Quantum ESPRESSO input:
```
&SYSTEM
  ibrav = 0, nat = 80, ntyp = 1
/
ATOMIC_SPECIES
S 32.06 S.upf
CELL_PARAMETERS angstrom
13.989 0.000 0.000
0.000 9.124 0.000
-6.662 0.000 15.699
ATOMIC_POSITIONS crystal
S 0.000 0.000 0.000
S 0.000 0.498 0.500
S 0.014 0.697 0.218
S 0.015 0.197 0.718
S 0.043 0.265 0.194
S 0.044 0.764 0.694
S 0.071 0.045 0.550
S 0.071 0.547 0.050
S 0.113 0.860 0.212
S 0.114 0.359 0.712
S 0.128 0.133 0.054
S 0.128 0.631 0.554
S 0.161 0.202 0.525
S 0.161 0.704 0.025
S 0.175 0.385 0.259
S 0.176 0.885 0.759
S 0.186 0.175 0.962
S 0.186 0.673 0.462
S 0.219 0.108 0.443
S 0.219 0.610 0.943
S 0.255 0.821 0.309
S 0.256 0.321 0.809
S 0.291 0.012 0.971
S 0.291 0.510 0.471
S 0.298 0.242 0.301
S 0.299 0.742 0.801
S 0.334 0.675 0.264
S 0.335 0.174 0.764
S 0.354 0.002 0.517
S 0.354 0.504 0.017
S 0.355 0.223 0.206
S 0.355 0.722 0.706
S 0.394 0.792 0.191
S 0.395 0.291 0.691
S 0.432 0.079 0.061
S 0.432 0.577 0.561
S 0.467 0.381 0.226
S 0.467 0.880 0.726
S 0.472 0.153 0.548
S 0.472 0.655 0.048
S 0.500 0.212 0.000
S 0.500 0.710 0.500
S 0.528 0.153 0.452
S 0.528 0.655 0.952
S 0.533 0.381 0.774
S 0.533 0.880 0.274
S 0.568 0.079 0.939
S 0.568 0.577 0.439
S 0.605 0.291 0.309
S 0.606 0.792 0.809
S 0.645 0.223 0.794
S 0.645 0.722 0.294
S 0.646 0.002 0.483
S 0.646 0.504 0.983
S 0.665 0.174 0.236
S 0.666 0.675 0.736
S 0.701 0.742 0.199
S 0.702 0.242 0.699
S 0.709 0.012 0.029
S 0.709 0.510 0.529
S 0.744 0.321 0.191
S 0.745 0.821 0.691
S 0.781 0.108 0.557
S 0.781 0.610 0.057
S 0.814 0.175 0.038
S 0.814 0.673 0.538
S 0.824 0.885 0.241
S 0.825 0.385 0.741
S 0.839 0.202 0.475
S 0.839 0.704 0.975
S 0.872 0.133 0.946
S 0.872 0.631 0.446
S 0.886 0.359 0.288
S 0.887 0.860 0.788
S 0.929 0.045 0.450
S 0.929 0.547 0.950
S 0.956 0.764 0.306
S 0.957 0.265 0.806
S 0.985 0.197 0.282
S 0.986 0.697 0.782
```